Density functional theory data (PBE) for a relaxed Tm7In4H crystal.

The space group is C2/m (No. 12) and the conventional cell measures 15.593, 5.082 and 10.878 Å, with angles of 90.00, 129.50 and 90.00 degrees. The inequivalent atoms are Tm at (0.000, 0.000, 0.000), Tm at (0.066, 0.500, 0.259), Tm at (0.140, 0.000, 0.570), Tm at (0.215, 0.500, 0.857), In at (0.075, 0.000, 0.790), In at (0.220, 0.000, 0.357) and H at (0.000, 0.500, 0.000).

As for the raw total energy: -95.731 eV/cell.